No. 1
VASP calculation (PBE) on a geometry-optimized GdDyTcHg structure.

Computed properties:
For the total energy, the calculation gives -7.48 eV/atom. For the formation energy, the calculation gives -0.138 eV/atom. The calculation puts the density of states at the Fermi level at 2.74 states/eV/cell. For the size of the total moment, the calculation gives 1.782 μB per atom.

a b c (Å): 5.0583 5.0583 5.0583
angles (deg): 60.00 60.00 60.00
Site moments in Bohr magnetons follow the coordinates.
Sites, in units of the cell vectors:
Hg1 0.7500 0.7500 0.7500  0.01
Dy1 0.5000 0.5000 0.5000  0.04
Tc1 0.2500 0.2500 0.2500  -0.15
Gd1 0.0000 0.0000 0.0000  7.06

No. 2
VASP calculation (PBE) on a geometry-optimized PmGe4Au4 structure.

Computed properties:
For the total energy, the calculation gives -4.20 eV/atom. For the formation energy, the calculation gives -0.159 eV/atom. The calculation puts the density of states at the Fermi level at 7.27 states/eV/cell. For the size of the total moment, the calculation gives 0.000 μB per atom.

a b c (Å): 6.8995 6.8995 8.1316
angles (deg): 90.00 90.00 90.00
Sites, in units of the cell vectors:
Ge1 0.2475 0.0000 0.6584
Ge2 0.0000 0.2475 0.3416
Ge3 0.0000 0.7525 0.3416
Ge4 0.5000 0.2525 0.1584
Ge5 0.7475 0.5000 0.8416
Ge6 0.2525 0.5000 0.8416
Ge7 0.5000 0.7475 0.1584
Ge8 0.7525 0.0000 0.6584
Au1 0.0000 0.7063 0.6566
Au2 0.0000 0.2937 0.6566
Au3 0.2937 0.0000 0.3434
Au4 0.7937 0.5000 0.1566
Au5 0.7063 0.0000 0.3434
Au6 0.5000 0.7937 0.8434
Au7 0.5000 0.2063 0.8434
Au8 0.2063 0.5000 0.1566
Pm1 0.0000 0.0000 0.0000
Pm2 0.5000 0.5000 0.5000